[1]
{
  "formula": "La5Pr2AlCu2",
  "functional": "PBE-GGA",
  "state": "optimized geometry",
  "cell": [[3.885, 0.000, 0.000], [0.000, 12.539, 0.000], [0.000, 0.000, 12.539]],
  "species": ["La", "La", "La", "La", "La", "La", "La", "La", "La", "La", "Pr", "Pr", "Pr", "Pr", "Al", "Al", "Cu", "Cu", "Cu", "Cu"],
  "frac_coords": [[0.500, 0.200, 0.060], [0.500, 0.800, 0.940], [0.500, 0.060, 0.800], [0.500, 0.700, 0.440], [0.500, 0.940, 0.200], [0.500, 0.300, 0.560], [0.500, 0.560, 0.700], [0.500, 0.440, 0.300], [0.500, 0.500, 0.000], [0.500, 0.000, 0.500], [0.000, 0.679, 0.179], [0.000, 0.321, 0.821], [0.000, 0.179, 0.321], [0.000, 0.821, 0.679], [0.000, 0.000, 0.000], [0.000, 0.500, 0.500], [0.000, 0.127, 0.627], [0.000, 0.873, 0.373], [0.000, 0.627, 0.873], [0.000, 0.373, 0.127]],
  "formation_enthalpy_0k_ev_per_atom": -0.1459
}


[2]
{
  "formula": "AlIBr3",
  "functional": "PBE-GGA",
  "state": "optimized geometry",
  "cell": [[-5.019, 2.625, 1.542], [0.689, -1.918, 5.506], [2.966, 4.888, 1.332]],
  "species": ["Al", "I", "Br", "Br", "Br"],
  "frac_coords": [[0.500, 0.500, 0.500], [0.000, 0.000, 0.000], [0.000, 0.500, 0.000], [0.000, 0.000, 0.500], [0.500, 0.000, 0.000]],
  "de_polymorph_mev_per_atom": 1003,
  "e_form_raw_mev_per_atom": 161
}


[3]
{
  "formula": "Rb3MgOs2O9",
  "functional": "PBE-GGA",
  "state": "optimized geometry",
  "cell": [[5.697, 0.000, 0.000], [-2.848, 4.934, 0.000], [0.000, 0.000, 7.037]],
  "species": ["Rb", "Rb", "Rb", "Mg", "Os", "Os", "O", "O", "O", "O", "O", "O", "O", "O", "O"],
  "frac_coords": [[0.333, 0.667, 0.660], [0.000, 0.000, 0.000], [0.667, 0.333, 0.340], [0.000, 0.000, 0.500], [0.333, 0.667, 0.166], [0.667, 0.333, 0.834], [0.824, 0.176, 0.685], [0.824, 0.647, 0.685], [0.353, 0.176, 0.685], [0.647, 0.824, 0.315], [0.176, 0.353, 0.315], [0.176, 0.824, 0.315], [0.500, 0.000, 0.000], [0.000, 0.500, 0.000], [0.500, 0.500, 0.000]],
  "e_form_raw_mev_per_atom": -1422
}


[4]
{
  "formula": "YCo3Hg",
  "functional": "PBE-GGA",
  "state": "optimized geometry",
  "cell": [[-0.695, -4.391, 1.464], [4.205, 0.019, 2.056], [-1.935, 1.620, 3.942]],
  "species": ["Y", "Co", "Co", "Co", "Hg"],
  "frac_coords": [[0.000, 0.000, 0.000], [0.000, 0.500, 0.000], [0.000, 0.000, 0.500], [0.500, 0.000, 0.000], [0.500, 0.500, 0.500]],
  "de_polymorph_mev_per_atom": 512,
  "formation_enthalpy_0k_ev_per_atom": 1.5889
}


[5]
{
  "formula": "BaSrOs3",
  "functional": "PBE-GGA",
  "state": "optimized geometry",
  "cell": [[-2.032, -4.417, 1.749], [1.251, -2.332, -4.438], [4.583, -1.321, 1.987]],
  "species": ["Sr", "Os", "Os", "Os", "Ba"],
  "frac_coords": [[0.000, 0.000, 0.000], [0.000, 0.500, 0.000], [0.000, 0.000, 0.500], [0.500, 0.000, 0.000], [0.500, 0.500, 0.500]],
  "de_polymorph_mev_per_atom": 0,
  "formation_enthalpy_0k_ev_per_atom": 2.8042
}


[6]
{
  "formula": "Pm8OsRh2",
  "functional": "PBE-GGA",
  "state": "optimized geometry",
  "cell": [[5.073, 0.000, 0.000], [0.000, 6.843, 0.601], [-2.537, -2.210, 8.603]],
  "species": ["Pm", "Pm", "Pm", "Pm", "Pm", "Pm", "Pm", "Pm", "Os", "Rh", "Rh"],
  "frac_coords": [[0.414, 0.578, 0.828], [0.665, 0.958, 0.330], [0.800, 0.663, 0.599], [0.962, 0.214, 0.923], [0.200, 0.337, 0.401], [0.335, 0.042, 0.670], [0.586, 0.422, 0.172], [0.038, 0.786, 0.077], [0.500, 0.000, 0.000], [0.789, 0.260, 0.578], [0.211, 0.740, 0.422]],
  "de_polymorph_mev_per_atom": 0,
  "formation_enthalpy_0k_ev_per_atom": -0.2952
}


[7]
{
  "formula": "ZnTc",
  "functional": "PBE-GGA",
  "state": "optimized geometry",
  "cell": [[-3.279, 1.499, 2.276], [2.477, -3.078, 1.602], [2.973, 3.442, 2.017]],
  "species": ["Zn", "Zn", "Tc", "Tc"],
  "frac_coords": [[0.333, 0.667, 0.250], [0.667, 0.333, 0.750], [0.333, 0.667, 0.750], [0.667, 0.333, 0.250]],
  "de_polymorph_mev_per_atom": 1422,
  "formation_enthalpy_0k_ev_per_atom": 1.3813
}


[8]
{
  "formula": "CaAgHPt2",
  "functional": "PBE-GGA",
  "state": "optimized geometry",
  "cell": [[4.097, 0.000, 0.000], [0.000, 4.097, 0.000], [0.000, 0.000, 4.443]],
  "species": ["H", "Ca", "Ag", "Pt", "Pt"],
  "frac_coords": [[0.000, 0.000, 0.000], [0.000, 0.000, 0.500], [0.500, 0.500, 0.500], [0.000, 0.500, 0.000], [0.500, 0.000, 0.000]],
  "de_polymorph_mev_per_atom": 0
}


[9]
{
  "formula": "Tb2Nd2Hg7",
  "functional": "PBE-GGA",
  "state": "optimized geometry",
  "cell": [[7.391, -0.003, -0.186], [0.003, 6.263, 0.003], [-0.646, -0.003, 7.365]],
  "species": ["Tb", "Tb", "Nd", "Nd", "Hg", "Hg", "Hg", "Hg", "Hg", "Hg", "Hg"],
  "frac_coords": [[0.725, 0.000, 0.275], [0.275, 0.000, 0.725], [0.811, 0.500, 0.811], [0.189, 0.500, 0.189], [0.000, 0.264, 0.500], [0.500, 0.736, 0.000], [0.000, 0.736, 0.500], [0.500, 0.264, 0.000], [0.000, 0.000, 0.000], [0.500, 0.730, 0.500], [0.500, 0.270, 0.500]],
  "formation_enthalpy_0k_ev_per_atom": -0.1189
}


[10]
{
  "formula": "AlCr2P2",
  "functional": "PBE-GGA",
  "state": "optimized geometry",
  "cell": [[6.652, 0.000, 0.000], [0.000, 6.652, 0.000], [0.000, 0.000, 2.825]],
  "species": ["Cr", "Cr", "Cr", "Cr", "Al", "Al", "P", "P", "P", "P"],
  "frac_coords": [[0.150, 0.650, 0.500], [0.650, 0.850, 0.500], [0.850, 0.350, 0.500], [0.350, 0.150, 0.500], [0.000, 0.000, 0.000], [0.500, 0.500, 0.000], [0.357, 0.857, 0.000], [0.857, 0.643, 0.000], [0.643, 0.143, 0.000], [0.143, 0.357, 0.000]],
  "formation_enthalpy_0k_ev_per_atom": -0.1676
}


[11]
{
  "formula": "MgCd2RuPt",
  "functional": "PBE-GGA",
  "state": "optimized geometry",
  "cell": [[-1.243, -1.656, 4.682], [-3.295, -2.983, -1.930], [3.542, -3.679, -0.361]],
  "species": ["Ru", "Mg", "Pt", "Cd", "Cd"],
  "frac_coords": [[0.000, 0.500, 0.000], [0.500, 0.500, 0.500], [0.000, 0.000, 0.000], [0.000, 0.000, 0.500], [0.500, 0.000, 0.000]],
  "de_polymorph_mev_per_atom": 0,
  "formation_enthalpy_0k_ev_per_atom": 0.6738
}


[12]
{
  "formula": "Fe3Co",
  "functional": "PBE-GGA",
  "state": "optimized geometry",
  "cell": [[-1.093, 0.548, -2.131], [-1.494, -1.412, 1.346], [-6.389, 13.099, 6.647]],
  "species": ["Co", "Co", "Fe", "Fe", "Fe", "Fe", "Fe", "Fe"],
  "frac_coords": [[0.000, 0.000, 0.000], [0.500, 0.500, 0.875], [0.000, 0.000, 0.751], [0.500, 0.500, 0.625], [0.000, 0.000, 0.500], [0.500, 0.500, 0.375], [0.000, 0.000, 0.250], [0.500, 0.500, 0.124]],
  "formation_enthalpy_0k_ev_per_atom": 0.0148
}


Let's list total moment in order: 0.00, 0.00, 0.00, 2.64, 4.31, 0.00, 1.43, 0.00, 0.00, 3.45, 0.00, 17.40 μB/cell.
Let's list uncorrected energy in order: -4.759, -1.901, -6.194, -4.028, -4.655, -6.108, -4.439, -4.470, -2.020, -6.929, -3.074, -8.109 eV/atom.